## Ba2CdGa2O6 (PBE-GGA)

Data for a relaxed Ba2CdGa2O6 crystal.

* electronic total energy: -5.58 eV/atom

a b c (Å): 5.9357 5.9357 6.4382
angles (deg): 112.68 112.68 59.60
With the nearest neighbours (Å) after each atom.
Atoms (fractional coordinates):
Ba1 0.7916 0.7916 0.3251  5 O 2.68-2.84
Ba2 0.2084 0.2084 0.6749  5 O 2.68-2.84
Cd1 0.0000 0.0000 0.0000  6 O 2.30-2.33
Ga1 0.4411 0.4411 0.2502  3 O 1.76-1.79
Ga2 0.5589 0.5589 0.7498  3 O 1.76-1.79
O1 0.2508 0.2508 0.1324  1 Ga 1.76
O2 0.7997 0.3003 0.3006  1 Ga 1.79
O3 0.3003 0.7997 0.3006  1 Ga 1.79
O4 0.6997 0.2003 0.6994  1 Ga 1.79
O5 0.2003 0.6997 0.6994  1 Ga 1.79
O6 0.7492 0.7492 0.8676  1 Ga 1.76